# 1
# SmAsO4 (GGA-PBE, optimized geometry)
data_SmAsO4
_cell_length_a 5.1266
_cell_length_b 5.1266
_cell_length_c 11.5910
_cell_angle_alpha 90.00
_cell_angle_beta 90.00
_cell_angle_gamma 90.00
_space_group_name_H-M_alt 'I 41/a'
_space_group_IT_number 88
loop_
_space_group_symop_operation_xyz
'x,y,z'
'-x,-y,-z'
'-y+3/4,x+1/4,z+1/4'
'y+3/4,-x+1/4,-z+1/4'
'-x+1/2,-y,z+1/2'
'x+1/2,y,-z+1/2'
'y+3/4,-x+3/4,z+3/4'
'-y+3/4,x+3/4,-z+3/4'
'x+1/2,y+1/2,z+1/2'
'-x+1/2,-y+1/2,-z+1/2'
'-y+1/4,x+3/4,z+3/4'
'y+1/4,-x+3/4,-z+3/4'
'-x,-y+1/2,z'
'x,y+1/2,-z'
'y+1/4,-x+1/4,z+1/4'
'-y+1/4,x+1/4,-z+1/4'
loop_
_atom_site_label
_atom_site_type_symbol
_atom_site_fract_x
_atom_site_fract_y
_atom_site_fract_z
_atom_site_occupancy
Sm1 Sm 0.0000 0.2500 0.1250 1
As1 As 0.0000 0.2500 0.6250 1
O1 O 0.1422 0.0004 0.7032 1
# Excess energy over the best structure of this formula in the dataset in eV/f.u.: 0.12
# Total moment in μB per cell: 0.0
# Formation energy from raw total energies in eV/f.u.: -14.00
# Density of states at the Fermi level in states/eV per cell: 0.000
# DFT total energy in eV per atom: -7.20



# 2
# SrPrNd4S8 (GGA-PBE, optimized geometry)
data_SrPrNd4S8
_cell_length_a 8.4244
_cell_length_b 8.4244
_cell_length_c 20.6892
_cell_angle_alpha 90.00
_cell_angle_beta 90.00
_cell_angle_gamma 120.00
_space_group_name_H-M_alt 'R 3 m'
_space_group_IT_number 160
_space_group_name_Hall 'R 3 -2"'
loop_
_atom_site_label
_atom_site_type_symbol
_atom_site_fract_x
_atom_site_fract_y
_atom_site_fract_z
_atom_site_occupancy
Sr1 Sr 0.0000 0.0000 0.0000 1
Pr1 Pr 0.0000 0.0000 0.6269 1
Nd1 Nd 0.0000 0.0000 0.2504 1
Nd2 Nd 0.1690 0.3379 0.4580 1
S1 S 0.0000 0.0000 0.3831 1
S2 S 0.0000 0.0000 0.8629 1
S3 S 0.0315 0.5157 0.3799 1
S4 S 0.1765 0.3530 0.2054 1
# Total moment in μB per cell: 0.0
# Formation energy from raw total energies in eV/f.u.: -27.51
# Density of states at the Fermi level in states/eV per cell: 10.185
# DFT total energy in eV per atom: -6.15



# 3
# DyYSnRu (GGA-PBE, optimized geometry)
data_DyYSnRu
_cell_length_a 7.1779
_cell_length_b 7.1779
_cell_length_c 7.1779
_cell_angle_alpha 90.00
_cell_angle_beta 90.00
_cell_angle_gamma 90.00
_space_group_name_H-M_alt 'F -4 3 m'
_space_group_IT_number 216
_space_group_name_Hall 'F -4 2 3'
loop_
_atom_site_label
_atom_site_type_symbol
_atom_site_fract_x
_atom_site_fract_y
_atom_site_fract_z
_atom_site_occupancy
Dy1 Dy 0.0000 0.0000 0.0000 1
Y1 Y 0.0000 0.0000 0.5000 1
Sn1 Sn 0.2500 0.2500 0.2500 1
Ru1 Ru 0.2500 0.2500 0.7500 1
# Formation energy from the elements in eV/atom: -0.418
# Total moment in μB per cell: 0.0
# Density of states at the Fermi level in states/eV per cell: 9.955
# DFT total energy in eV per atom: -6.50



# 4
# Sc2CrPb (GGA-PBE, optimized geometry)
data_Sc2CrPb
_cell_length_a 3.3666
_cell_length_b 4.6036
_cell_length_c 5.9289
_cell_angle_alpha 90.00
_cell_angle_beta 106.36
_cell_angle_gamma 90.00
_space_group_name_H-M_alt 'P 1 m 1'
_space_group_IT_number 6
_space_group_name_Hall 'P -2y'
loop_
_atom_site_label
_atom_site_type_symbol
_atom_site_fract_x
_atom_site_fract_y
_atom_site_fract_z
_atom_site_occupancy
Sc1 Sc 0.0000 0.0000 0.0000 1
Sc2 Sc 0.3295 0.5000 0.6635 1
Cr1 Cr 0.5788 0.5000 0.1550 1
Pb1 Pb 0.7285 0.0000 0.4606 1
# Formation energy from the elements in eV/atom: -0.003
# Total moment in μB per cell: 3.0
# Density of states at the Fermi level in states/eV per cell: 4.086
# DFT total energy in eV per atom: -6.50